# 1
Computed, not measured: a crystal of Cs3Rb relaxed with PBEsol at the meta-GGA SCAN level of DFT.

**Symmetry**: No. 194
**M_tot**: 0.04 μB/cell
**Volume**: 404.3 Å³/f.u.
**Formation energy from the elements**: 0.000 eV per atom

Structure (POSCAR):
```
Cs3Rb
1.0
10.4936 0.0000 0.0000
-5.2468 9.0878 0.0000
0.0000 0.0000 8.4789
Cs Rb
6 2
Direct
0.1685 0.3371 0.2500
0.1685 0.8315 0.2500
0.3371 0.1685 0.7500
0.6629 0.8315 0.2500
0.8315 0.1685 0.7500
0.8315 0.6629 0.7500
0.3333 0.6667 0.7500
0.6667 0.3333 0.2500
```

# 2
Computed, not measured: a crystal of YCr2Ir relaxed with PBEsol at the meta-GGA SCAN level of DFT.

**Symmetry**: No. 8
**M_tot**: 0.15 μB/cell
**E above lowest polymorph**: 0.0000 eV per atom
**Volume**: 64.3 Å³/f.u.
**Formation energy from the elements**: 0.043 eV per atom

Structure (POSCAR):
```
YCr2Ir
1.0
4.5146 -1.4670 0.0000
4.5146 1.4670 0.0000
-1.5788 0.0000 4.8575
Y Cr Ir
1 2 1
Direct
0.0000 0.0000 0.0000
0.2125 0.2125 0.6673
0.5137 0.5137 0.5098
0.7750 0.7750 0.3157
```

# 3
Computed, not measured: a crystal of P2RhPb relaxed with PBEsol at the meta-GGA SCAN level of DFT.

**Symmetry**: No. 99
**M_tot**: 0.00 μB/cell
**Volume**: 69.8 Å³/f.u.
**Formation energy from the elements**: 0.120 eV per atom

Structure (POSCAR):
```
P2RhPb
1.0
3.1085 0.0000 0.0000
0.0000 3.1085 0.0000
0.0000 0.0000 7.2262
P Rh Pb
2 1 1
Direct
0.0000 0.0000 0.0000
0.5000 0.5000 0.1684
0.5000 0.5000 0.8363
0.0000 0.0000 0.5414
```

# 4
Computed, not measured: a crystal of Sb2As relaxed with PBEsol at the meta-GGA SCAN level of DFT.

**Symmetry**: No. 194
**Energy relative to the elements, uncorrected**: 0.3618 eV/atom
**M_tot**: 0.00 μB/cell
**E above lowest polymorph**: 0.3052 eV per atom
**Volume**: 70.5 Å³/f.u.

Structure (POSCAR):
```
Sb2As
1.0
5.1706 0.0000 0.0000
-2.5853 4.4779 0.0000
0.0000 0.0000 6.0897
Sb As
4 2
Direct
0.0000 0.0000 0.0000
0.0000 0.0000 0.5000
0.3333 0.6667 0.2500
0.6667 0.3333 0.7500
0.3333 0.6667 0.7500
0.6667 0.3333 0.2500
```

# 5
Computed, not measured: a crystal of MgCl8 relaxed with PBEsol at the meta-GGA SCAN level of DFT.

**Symmetry**: No. 139
**Energy relative to the elements, uncorrected**: -0.3104 eV/atom
**M_tot**: 0.00 μB/cell
**Volume**: 210.7 Å³/f.u.

Structure (POSCAR):
```
MgCl8
1.0
-3.9084 3.9084 3.4481
3.9084 -3.9084 3.4481
3.9084 3.9084 -3.4481
Mg Cl
1 8
Direct
0.0000 0.0000 0.0000
0.0000 0.3051 0.3051
0.0000 0.6949 0.6949
0.3051 0.0000 0.3051
0.3280 0.3280 0.6561
0.3280 0.6720 0.0000
0.6720 0.3280 0.0000
0.6720 0.6720 0.3439
0.6949 0.0000 0.6949
```

# 6
Computed, not measured: a crystal of Ba3InIr relaxed with PBEsol at the meta-GGA SCAN level of DFT.

**Symmetry**: No. 221
**M_tot**: 0.00 μB/cell
**Volume**: 209.6 Å³/f.u.
**Formation energy from the elements**: -0.209 eV per atom

Structure (POSCAR):
```
Ba3InIr
1.0
5.9403 0.0000 0.0000
0.0000 5.9403 0.0000
0.0000 0.0000 5.9403
Ba In Ir
3 1 1
Direct
0.0000 0.0000 0.5000
0.0000 0.5000 0.0000
0.5000 0.0000 0.0000
0.5000 0.5000 0.5000
0.0000 0.0000 0.0000
```

# 7
Computed, not measured: a crystal of Cs5GeAs3 relaxed with PBEsol at the meta-GGA SCAN level of DFT.

**Symmetry**: No. 62
**M_tot**: 0.00 μB/cell
**Volume**: 341.9 Å³/f.u.
**Formation energy from the elements**: -0.535 eV per atom

Structure (POSCAR):
```
Cs5GeAs3
1.0
14.4745 0.0000 0.0000
0.0000 5.9566 0.0000
0.0000 0.0000 15.8609
Cs Ge As
20 4 12
Direct
0.0504 0.2500 0.1539
0.0647 0.2500 0.4499
0.1200 0.2500 0.6856
0.1462 0.7500 0.0476
0.2223 0.7500 0.7932
0.2777 0.2500 0.2932
0.3538 0.2500 0.5476
0.3800 0.7500 0.1856
0.4353 0.7500 0.9499
0.4496 0.7500 0.6539
0.5504 0.2500 0.3461
0.5647 0.2500 0.0501
0.6200 0.2500 0.8144
0.6462 0.7500 0.4524
0.7223 0.7500 0.7068
0.7777 0.2500 0.2068
0.8538 0.2500 0.9524
0.8800 0.7500 0.3144
0.9353 0.7500 0.5501
0.9496 0.7500 0.8461
0.2398 0.7500 0.4308
0.2602 0.2500 0.9308
0.7398 0.7500 0.0692
0.7602 0.2500 0.5692
0.0978 0.2500 0.9111
0.1320 0.7500 0.3170
0.1903 0.7500 0.5731
0.3097 0.2500 0.0731
0.3680 0.2500 0.8170
0.4022 0.7500 0.4111
0.5978 0.2500 0.5889
0.6320 0.7500 0.1830
0.6903 0.7500 0.9269
0.8097 0.2500 0.4269
0.8680 0.2500 0.6830
0.9022 0.7500 0.0889
```

# 8
Computed, not measured: a crystal of TlHF2 relaxed with PBEsol at the meta-GGA SCAN level of DFT.

**Symmetry**: No. 166
**M_tot**: 0.00 μB/cell
**E above lowest polymorph**: 1.2015 eV per atom
**Volume**: 47.3 Å³/f.u.

Structure (POSCAR):
```
TlHF2
1.0
1.4628 0.8446 6.3753
-1.4628 0.8446 6.3753
0.0000 -1.6891 6.3753
Tl H F
1 1 2
Direct
0.0000 0.0000 0.0000
0.5000 0.5000 0.5000
0.1201 0.1201 0.1201
0.8799 0.8799 0.8799
```

# 9
Computed, not measured: a crystal of CuNi2Ir relaxed with PBEsol at the meta-GGA SCAN level of DFT.

**Symmetry**: No. 123
**M_tot**: 1.25 μB/cell
**Volume**: 46.4 Å³/f.u.
**Formation energy from the elements**: 0.054 eV per atom

Structure (POSCAR):
```
CuNi2Ir
1.0
2.6084 0.0000 0.0000
0.0000 2.6084 0.0000
0.0000 0.0000 6.8224
Cu Ni Ir
1 2 1
Direct
0.0000 0.0000 0.0000
0.5000 0.5000 0.2430
0.5000 0.5000 0.7570
0.0000 0.0000 0.5000
```

# 10
Computed, not measured: a crystal of Ta2OsI relaxed with PBEsol at the meta-GGA SCAN level of DFT.

**Symmetry**: No. 225
**Energy relative to the elements, uncorrected**: 0.8097 eV/atom
**M_tot**: 0.00 μB/cell
**Volume**: 70.6 Å³/f.u.

Structure (POSCAR):
```
Ta2OsI
1.0
0.0000 3.2808 3.2808
3.2808 0.0000 3.2808
3.2808 3.2808 0.0000
Ta Os I
2 1 1
Direct
0.2500 0.2500 0.2500
0.7500 0.7500 0.7500
0.0000 0.0000 0.0000
0.5000 0.5000 0.5000
```

# 11
Computed, not measured: a crystal of NbTl2B relaxed with PBEsol at the meta-GGA SCAN level of DFT.

**Symmetry**: No. 225
**M_tot**: 2.61 μB/cell
**Volume**: 78.7 Å³/f.u.
**Formation energy from the elements**: 1.452 eV per atom

Structure (POSCAR):
```
NbTl2B
1.0
0.0000 3.4006 3.4006
3.4006 0.0000 3.4006
3.4006 3.4006 0.0000
Nb Tl B
1 2 1
Direct
0.0000 0.0000 0.0000
0.2500 0.2500 0.2500
0.7500 0.7500 0.7500
0.5000 0.5000 0.5000
```

# 12
Computed, not measured: a crystal of ScAs2IBr relaxed with PBEsol at the meta-GGA SCAN level of DFT.

**Symmetry**: No. 123
**Energy relative to the elements, uncorrected**: 0.7843 eV/atom
**M_tot**: 0.30 μB/cell
**E above lowest polymorph**: 0.9245 eV per atom
**Volume**: 150.3 Å³/f.u.

Structure (POSCAR):
```
ScAs2IBr
1.0
5.2618 0.0000 0.0000
0.0000 5.2618 0.0000
0.0000 0.0000 5.4293
Sc As I Br
1 2 1 1
Direct
0.0000 0.0000 0.0000
0.0000 0.5000 0.5000
0.5000 0.0000 0.5000
0.5000 0.5000 0.5000
0.5000 0.5000 0.0000
```

Taking the records one at a time from the top gives total DFT energy (no corrections) values of -33.54; -33.89; -32.47; -31.21; -7.95; -44.84; -30.39; -21.26; -29.61; -59.64; -44.87; -21.38 eV per atom.